1.
Computed, not measured: crystalline Hf2Ga3Rh at its relaxed geometry at the PBE level of DFT.

abc: 4.445 4.445 12.021
angles: 90.00 90.00 120.00
Sites, in units of the cell vectors:
Hf (0.000, 0.000, 0.371)
Ga (0.333, 0.667, 0.478)
Rh (0.333, 0.667, 0.250)
Rh (0.667, 0.333, 0.750)
Ga (0.333, 0.667, 0.750)
Hf (0.000, 0.000, 0.629)
Hf (0.000, 0.000, 0.871)
Ga (0.667, 0.333, 0.978)
Hf (0.000, 0.000, 0.129)
Ga (0.667, 0.333, 0.250)
Ga (0.667, 0.333, 0.522)
Ga (0.333, 0.667, 0.022)

Properties
space group	No. 194
energy relative to the lowest polymorph listed for this composition	0	meV per atom

---

2.
Computed, not measured: crystalline HfGaRh6 at its relaxed geometry at the PBE level of DFT.

abc: 3.869 5.537 5.537
angles: 89.99 90.00 90.00
Sites, in units of the cell vectors:
Rh (0.000, 0.743, 0.743)
Ga (0.500, 0.500, 0.500)
Rh (0.000, 0.743, 0.257)
Rh (0.000, 0.257, 0.257)
Rh (0.500, 0.000, 0.500)
Hf (0.500, 0.000, 0.000)
Rh (0.000, 0.257, 0.743)
Rh (0.500, 0.500, 0.000)

Properties
space group	No. 123

---

3.
Computed, not measured: crystalline HfGa2Rh at its relaxed geometry at the PBE level of DFT.

abc: 4.134 3.983 3.983
angles: 90.00 90.00 90.00
Sites, in units of the cell vectors:
Rh (0.500, 0.000, 0.000)
Ga (0.000, 0.500, 0.000)
Ga (0.000, 0.000, 0.500)
Hf (0.500, 0.500, 0.500)

Properties
space group	No. 123

---

4.
Computed, not measured: crystalline HfGa2Rh3 at its relaxed geometry at the PBE level of DFT.

abc: 4.405 4.405 10.795
angles: 90.00 90.00 120.00
Sites, in units of the cell vectors:
Rh (0.000, 0.000, 0.763)
Ga (0.000, 0.000, 0.500)
Ga (0.000, 0.000, 0.000)
Hf (0.667, 0.333, 0.328)
Ga (0.667, 0.333, 0.834)
Rh (0.667, 0.333, 0.583)
Hf (0.333, 0.667, 0.672)
Rh (0.333, 0.667, 0.924)
Rh (0.000, 0.000, 0.237)
Rh (0.667, 0.333, 0.076)
Ga (0.333, 0.667, 0.166)
Rh (0.333, 0.667, 0.417)

Properties
space group	No. 164

---

5.
Computed, not measured: crystalline Hf2Ga6Rh at its relaxed geometry at the PBE level of DFT.

abc: 3.004 6.500 8.989
angles: 111.20 90.00 90.00
Sites, in units of the cell vectors:
Rh (0.000, 0.000, 0.000)
Ga (0.000, 0.937, 0.277)
Ga (0.000, 0.660, 0.723)
Hf (0.500, 0.271, 0.543)
Ga (0.000, 0.340, 0.277)
Ga (0.500, 0.313, 0.000)
Hf (0.500, 0.729, 0.457)
Ga (0.000, 0.063, 0.723)
Ga (0.500, 0.687, 0.000)

Properties
space group	No. 65

---

6.
Computed, not measured: crystalline Hf6Ga2Rh at its relaxed geometry at the PBE level of DFT.

abc: 4.505 6.462 7.822
angles: 114.40 106.72 90.00
Sites, in units of the cell vectors:
Hf (0.837, 0.590, 0.672)
Ga (0.333, 0.333, 0.666)
Ga (0.667, 0.667, 0.334)
Hf (0.500, 0.244, 0.000)
Hf (0.500, 0.756, 0.000)
Hf (0.163, 0.410, 0.328)
Hf (0.837, 0.082, 0.672)
Rh (0.000, 0.000, 0.000)
Hf (0.163, 0.918, 0.328)

Properties
space group	No. 71

---

| no. | E_form (eV/atom) |
| --- | --- |
| 1 | -0.61 |
| 2 | -0.52 |
| 3 | -0.53 |
| 4 | -0.82 |
| 5 | -0.28 |
| 6 | -0.13 |